The following is a GGA-PBEsol calculation of a relaxed structure of Ga2WO6, from the Alexandria database.

a b c (Å): 4.9812 9.4401 9.4401
angles (deg): 84.08 85.83 85.83
Closest atoms and distances in Å follow each position.
Atoms (fractional coordinates):
Ga 0.7500 0.1538 0.8462  6 O 1.95-2.07
Ga 0.7500 0.7009 0.2991  6 O 1.91-2.04
Ga 0.2905 0.9420 0.7942  4 O 1.82-1.87
Ga 0.7905 0.7942 0.9420  4 O 1.82-1.87
Ga 0.2095 0.2058 0.0580  4 O 1.82-1.87
Ga 0.7095 0.0580 0.2058  4 O 1.82-1.87
Ga 0.2500 0.2991 0.7009  6 O 1.91-2.04
Ga 0.2500 0.8462 0.1538  6 O 1.95-2.07
W 0.6152 0.4928 0.8450  5 O 1.81-1.98
W 0.8848 0.1550 0.5072  5 O 1.81-1.98
W 0.1152 0.8450 0.4928  5 O 1.81-1.98
W 0.3848 0.5072 0.1550  5 O 1.81-1.98
O 0.1207 0.8582 0.9626  3 Ga 1.82-1.95
O 0.2977 0.5545 0.9535  2 W 1.91-1.98
O 0.4146 0.2640 0.8945  3 Ga 1.85-2.04
O 0.4226 0.4738 0.6929  1 W 1.82, 1 Ga 1.91
O 0.0774 0.3071 0.5262  1 W 1.82, 1 Ga 1.91
O 0.0854 0.1055 0.7360  3 Ga 1.85-2.04
O 0.6207 0.9626 0.8582  3 Ga 1.82-1.95
O 0.6014 0.1928 0.6456  1 W 1.89, 2 Ga 2.02-2.07
O 0.1014 0.6456 0.1928  1 W 1.89, 2 Ga 2.02-2.07
O 0.7318 0.1891 0.3381  1 W 1.81, 1 Ga 1.86
O 0.2318 0.3381 0.1891  1 W 1.81, 1 Ga 1.86
O 0.2023 0.0465 0.4455  2 W 1.91-1.98
O 0.7977 0.9535 0.5545  2 W 1.91-1.98
O 0.7682 0.6619 0.8109  1 W 1.81, 1 Ga 1.86
O 0.2682 0.8109 0.6619  1 W 1.81, 1 Ga 1.86
O 0.8986 0.3544 0.8072  1 W 1.89, 2 Ga 2.02-2.07
O 0.3986 0.8072 0.3544  1 W 1.89, 2 Ga 2.02-2.07
O 0.3793 0.0374 0.1418  3 Ga 1.82-1.95
O 0.9146 0.8945 0.2640  3 Ga 1.85-2.04
O 0.9226 0.6929 0.4738  1 W 1.82, 1 Ga 1.91
O 0.5774 0.5262 0.3071  1 W 1.82, 1 Ga 1.91
O 0.5854 0.7360 0.1055  3 Ga 1.85-2.04
O 0.7023 0.4455 0.0465  2 W 1.91-1.98
O 0.8793 0.1418 0.0374  3 Ga 1.82-1.95

Calculated values
**Space group**: No. 15
**Calculated total energy**: -7.714 eV per atom
**Energy relative to the lowest polymorph listed for this composition**: 0.302 eV/f.u.
**E_form (uncorrected)**: -1.938 eV/atom



The following is a GGA-PBEsol calculation of a relaxed structure of Ga2WO6, from the Alexandria database.

a b c (Å): 4.7321 7.1337 11.4021
angles (deg): 93.31 90.00 90.00
Closest atoms and distances in Å follow each position.
Atoms (fractional coordinates):
Ga 0.2090 0.0000 0.7500  4 O 1.89-1.91
Ga 0.7910 0.0000 0.2500  4 O 1.89-1.91
Ga 0.7552 0.7567 0.8809  6 O 1.93-2.04
Ga 0.2448 0.7567 0.3809  6 O 1.93-2.04
Ga 0.2865 0.5000 0.7500  4 O 1.91
Ga 0.7135 0.5000 0.2500  4 O 1.91
Ga 0.7552 0.2433 0.6191  6 O 1.93-2.04
Ga 0.2448 0.2433 0.1191  6 O 1.93-2.04
W 0.7342 0.7444 0.6045  4 O 1.78-1.97
W 0.2658 0.7444 0.1045  4 O 1.78-1.97
W 0.7342 0.2556 0.8955  4 O 1.78-1.97
W 0.2658 0.2556 0.3955  4 O 1.78-1.97
O 0.9282 0.9874 0.6292  2 Ga 1.91-2.01, 1 W 1.97
O 0.4405 0.8336 0.5256  1 W 1.79, 1 Ga 1.94
O 0.0718 0.9874 0.1292  2 Ga 1.91-2.01, 1 W 1.97
O 0.4916 0.8134 0.7582  2 Ga 1.89-1.93
O 0.5595 0.8336 0.0256  1 W 1.79, 1 Ga 1.94
O 0.9942 0.6831 0.7396  2 Ga 1.91-2.01, 1 W 2.04
O 0.5084 0.8134 0.2582  2 Ga 1.89-1.93
O 0.0482 0.6704 0.9830  1 W 1.78, 1 Ga 1.93
O 0.5611 0.4984 0.6266  2 Ga 1.91-2.04, 1 W 1.97
O 0.0058 0.6831 0.2396  2 Ga 1.91-2.01, 1 W 2.04
O 0.5611 0.5016 0.8734  2 Ga 1.91-2.04, 1 W 1.97
O 0.0482 0.3296 0.5170  1 W 1.78, 1 Ga 1.93
O 0.9518 0.6704 0.4830  1 W 1.78, 1 Ga 1.93
O 0.4389 0.4984 0.1266  2 Ga 1.91-2.04, 1 W 1.97
O 0.9942 0.3169 0.7604  2 Ga 1.91-2.01, 1 W 2.04
O 0.4389 0.5016 0.3734  2 Ga 1.91-2.04, 1 W 1.97
O 0.9518 0.3296 0.0170  1 W 1.78, 1 Ga 1.93
O 0.4916 0.1866 0.7418  2 Ga 1.89-1.93
O 0.0058 0.3169 0.2604  2 Ga 1.91-2.01, 1 W 2.04
O 0.4405 0.1664 0.9744  1 W 1.79, 1 Ga 1.94
O 0.5084 0.1866 0.2418  2 Ga 1.89-1.93
O 0.9282 0.0126 0.8708  2 Ga 1.91-2.01, 1 W 1.97
O 0.5595 0.1664 0.4744  1 W 1.79, 1 Ga 1.94
O 0.0718 0.0126 0.3708  2 Ga 1.91-2.01, 1 W 1.97

Calculated values
**Space group**: No. 13
**Calculated total energy**: -7.703 eV per atom
**Energy relative to the lowest polymorph listed for this composition**: 0.399 eV/f.u.
**E_form (uncorrected)**: -1.927 eV/atom



The following is a GGA-PBEsol calculation of a relaxed structure of Ga2WO6, from the Alexandria database.

a b c (Å): 4.5914 4.5914 8.9022
angles (deg): 90.00 90.00 90.00
Closest atoms and distances in Å follow each position.
Atoms (fractional coordinates):
Ga 0.5000 0.5000 0.3364  6 O 1.96-2.02
Ga 0.5000 0.5000 0.6636  6 O 1.96-2.02
Ga 0.0000 0.0000 0.1636  6 O 1.96-2.02
Ga 0.0000 0.0000 0.8364  6 O 1.96-2.02
W 0.5000 0.5000 0.0000  6 O 1.92-1.94
W 0.0000 0.0000 0.5000  6 O 1.92-1.94
O 0.6964 0.6964 0.1607  1 W 1.92, 2 Ga 1.97-2.02
O 0.6964 0.6964 0.8393  1 W 1.92, 2 Ga 1.97-2.02
O 0.7013 0.7013 0.5000  1 W 1.94, 2 Ga 1.96
O 0.7987 0.2013 0.0000  1 W 1.94, 2 Ga 1.96
O 0.8036 0.1964 0.3393  1 W 1.92, 2 Ga 1.97-2.02
O 0.8036 0.1964 0.6607  1 W 1.92, 2 Ga 1.97-2.02
O 0.1964 0.8036 0.3393  1 W 1.92, 2 Ga 1.97-2.02
O 0.1964 0.8036 0.6607  1 W 1.92, 2 Ga 1.97-2.02
O 0.2013 0.7987 0.0000  1 W 1.94, 2 Ga 1.96
O 0.2987 0.2987 0.5000  1 W 1.94, 2 Ga 1.96
O 0.3036 0.3036 0.1607  1 W 1.92, 2 Ga 1.97-2.02
O 0.3036 0.3036 0.8393  1 W 1.92, 2 Ga 1.97-2.02

Calculated values
**Space group**: No. 136
**Calculated total energy**: -7.734 eV per atom
**Energy relative to the lowest polymorph listed for this composition**: 0.119 eV/f.u.
**E_form (uncorrected)**: -1.958 eV/atom



The following is a GGA-PBEsol calculation of a relaxed structure of Ga2WO6, from the Alexandria database.

a b c (Å): 4.5205 4.9166 16.6432
angles (deg): 90.00 90.00 90.00
Closest atoms and distances in Å follow each position.
Atoms (fractional coordinates):
Ga 0.0000 0.7500 0.0546  6 O 1.92-2.04
Ga 0.0000 0.2500 0.2738  6 O 1.92-2.14
Ga 0.0000 0.7500 0.7262  6 O 1.92-2.14
Ga 0.0000 0.2500 0.9454  6 O 1.92-2.04
Ga 0.5000 0.7500 0.2262  6 O 1.92-2.14
Ga 0.5000 0.7500 0.5546  6 O 1.92-2.04
Ga 0.5000 0.2500 0.7738  6 O 1.92-2.14
Ga 0.5000 0.2500 0.4454  6 O 1.92-2.04
W 0.0000 0.7500 0.3858  6 O 1.89-1.98
W 0.0000 0.2500 0.6142  6 O 1.89-1.98
W 0.5000 0.7500 0.8858  6 O 1.89-1.98
W 0.5000 0.2500 0.1142  6 O 1.89-1.98
O 0.7654 0.4066 0.0396  1 W 1.89, 2 Ga 2.01-2.04
O 0.7654 0.9066 0.9604  1 W 1.89, 2 Ga 2.01-2.04
O 0.7256 0.4240 0.2026  2 Ga 1.92-1.94, 1 W 1.98
O 0.7256 0.9240 0.7974  2 Ga 1.92-1.94, 1 W 1.98
O 0.7699 0.4290 0.3733  1 W 1.90, 1 Ga 1.92
O 0.7699 0.9290 0.6267  1 W 1.90, 1 Ga 1.92
O 0.7301 0.9290 0.1267  1 W 1.90, 1 Ga 1.92
O 0.7301 0.4290 0.8733  1 W 1.90, 1 Ga 1.92
O 0.7744 0.9240 0.2974  2 Ga 1.92-1.94, 1 W 1.98
O 0.7744 0.4240 0.7026  2 Ga 1.92-1.94, 1 W 1.98
O 0.7346 0.9066 0.4604  1 W 1.89, 2 Ga 2.01-2.04
O 0.7346 0.4066 0.5396  1 W 1.89, 2 Ga 2.01-2.04
O 0.2654 0.5934 0.4604  1 W 1.89, 2 Ga 2.01-2.04
O 0.2654 0.0934 0.5396  1 W 1.89, 2 Ga 2.01-2.04
O 0.2256 0.5760 0.2974  2 Ga 1.92-1.94, 1 W 1.98
O 0.2256 0.0760 0.7026  2 Ga 1.92-1.94, 1 W 1.98
O 0.2699 0.5710 0.1267  1 W 1.90, 1 Ga 1.92
O 0.2699 0.0710 0.8733  1 W 1.90, 1 Ga 1.92
O 0.2301 0.5710 0.6267  1 W 1.90, 1 Ga 1.92
O 0.2301 0.0710 0.3733  1 W 1.90, 1 Ga 1.92
O 0.2744 0.0760 0.2026  2 Ga 1.92-1.94, 1 W 1.98
O 0.2744 0.5760 0.7974  2 Ga 1.92-1.94, 1 W 1.98
O 0.2346 0.0934 0.0396  1 W 1.89, 2 Ga 2.01-2.04
O 0.2346 0.5934 0.9604  1 W 1.89, 2 Ga 2.01-2.04

Calculated values
**Space group**: No. 60
**Calculated total energy**: -7.747 eV per atom
**Energy relative to the lowest polymorph listed for this composition**: 0.000 eV/f.u.
**E_form (uncorrected)**: -1.971 eV/atom



The following is a GGA-PBEsol calculation of a relaxed structure of Y2Ga2O, from the Alexandria database.

a b c (Å): 5.2197 5.2197 5.2197
angles (deg): 102.73 112.95 112.95
Closest atoms and distances in Å follow each position.
Atoms (fractional coordinates):
Y 0.5000 0.7500 0.2500  4 Ga 2.91
Y 0.5000 0.2500 0.7500  4 Ga 2.91
O 0.0000 0.0000 0.0000  2 Ga 2.02
Ga 0.0000 0.6895 0.6895  1 O 2.02
Ga 0.0000 0.3105 0.3105  1 O 2.02

Calculated values
**Space group**: No. 139
**Calculated total energy**: -5.396 eV per atom
**E_form (uncorrected)**: -0.282 eV/atom



The following is a GGA-PBEsol calculation of a relaxed structure of Y4Ga2O9, from the Alexandria database.

a b c (Å): 7.3283 10.5485 11.2796
angles (deg): 90.00 108.01 90.00
Closest atoms and distances in Å follow each position.
Atoms (fractional coordinates):
Y 0.0194 0.8978 0.7999  6 O 2.19-2.34
Y 0.0194 0.6022 0.2999  6 O 2.19-2.34
Y 0.1630 0.1177 0.5855  6 O 2.23-2.35
Y 0.3419 0.6256 0.9387  5 O 2.24-2.32
Y 0.1630 0.3823 0.0855  6 O 2.23-2.35
Y 0.3419 0.8744 0.4387  5 O 2.24-2.32
Y 0.4797 0.3833 0.7209  7 O 2.25-2.51
Y 0.5203 0.8833 0.7791  7 O 2.25-2.51
Y 0.4797 0.1167 0.2209  7 O 2.25-2.51
Y 0.5203 0.6167 0.2791  7 O 2.25-2.51
Y 0.6581 0.1256 0.5613  5 O 2.24-2.32
Y 0.8370 0.6177 0.9145  6 O 2.23-2.35
Y 0.6581 0.3744 0.0613  5 O 2.24-2.32
Y 0.8370 0.8823 0.4145  6 O 2.23-2.35
Y 0.9806 0.3978 0.7001  6 O 2.19-2.34
Y 0.9806 0.1022 0.2001  6 O 2.19-2.34
Ga 0.2071 0.6716 0.6236  4 O 1.80-1.86
Ga 0.3429 0.1685 0.8933  4 O 1.82-1.86
Ga 0.2071 0.8284 0.1236  4 O 1.80-1.86
Ga 0.3429 0.3315 0.3933  4 O 1.82-1.86
Ga 0.6571 0.6685 0.6067  4 O 1.82-1.86
Ga 0.7929 0.1716 0.8764  4 O 1.80-1.86
Ga 0.6571 0.8315 0.1067  4 O 1.82-1.86
Ga 0.7929 0.3284 0.3764  4 O 1.80-1.86
O 0.0660 0.7648 0.9732  1 Ga 1.82
O 0.0789 0.4912 0.8946  4 Y 2.28-2.35
O 0.2092 0.2558 0.7515  1 Ga 1.84
O 0.2327 0.7560 0.7718  1 Ga 1.85
O 0.0660 0.7352 0.4732  1 Ga 1.82
O 0.0789 0.0088 0.3946  4 Y 2.28-2.35
O 0.3035 0.0052 0.8395  1 Ga 1.82
O 0.2122 0.5035 0.6531  1 Ga 1.80
O 0.2092 0.2442 0.2515  1 Ga 1.84
O 0.2327 0.7440 0.2718  1 Ga 1.85
O 0.3678 0.2648 0.5469  1 Ga 1.83
O 0.3035 0.4948 0.3395  1 Ga 1.82
O 0.4303 0.7457 0.6110  2 Ga 1.86
O 0.5641 0.5067 0.8921  4 Y 2.24-2.29
O 0.2122 0.9965 0.1531  1 Ga 1.80
O 0.4359 0.0067 0.6079  4 Y 2.24-2.29
O 0.5697 0.2457 0.8890  2 Ga 1.86
O 0.6322 0.7648 0.9531  1 Ga 1.83
O 0.3678 0.2352 0.0469  1 Ga 1.83
O 0.4303 0.7543 0.1110  2 Ga 1.86
O 0.5641 0.9933 0.3921  4 Y 2.24-2.29
O 0.7878 0.0035 0.8469  1 Ga 1.80
O 0.4359 0.4933 0.1079  4 Y 2.24-2.29
O 0.5697 0.2543 0.3890  2 Ga 1.86
O 0.6965 0.5052 0.6605  1 Ga 1.82
O 0.6322 0.7352 0.4531  1 Ga 1.83
O 0.7673 0.2560 0.7282  1 Ga 1.85
O 0.7908 0.7558 0.7485  1 Ga 1.84
O 0.7878 0.4965 0.3469  1 Ga 1.80
O 0.6965 0.9948 0.1605  1 Ga 1.82
O 0.9211 0.9912 0.6054  4 Y 2.28-2.35
O 0.9340 0.2648 0.5268  1 Ga 1.82
O 0.7673 0.2440 0.2282  1 Ga 1.85
O 0.7908 0.7442 0.2485  1 Ga 1.84
O 0.9211 0.5088 0.1054  4 Y 2.28-2.35
O 0.9340 0.2352 0.0268  1 Ga 1.82

Calculated values
**Space group**: No. 14
**Calculated total energy**: -8.469 eV per atom
**Energy relative to the lowest polymorph listed for this composition**: 0.000 eV/f.u.
**E_form (uncorrected)**: -3.055 eV/atom



The following is a GGA-PBEsol calculation of a relaxed structure of Y4Ga2O9, from the Alexandria database.

a b c (Å): 6.0076 10.9373 11.3439
angles (deg): 90.00 90.00 90.00
Closest atoms and distances in Å follow each position.
Atoms (fractional coordinates):
Y 0.7492 0.0851 0.0012  6 O 2.21-2.40
Y 0.2508 0.5851 0.0012  6 O 2.21-2.40
Y 0.2708 0.2931 0.1392  6 O 2.25-2.49
Y 0.7292 0.7931 0.1392  6 O 2.25-2.49
Y 0.7708 0.2931 0.3608  6 O 2.25-2.49
Y 0.2292 0.7931 0.3608  6 O 2.25-2.49
Y 0.2492 0.0851 0.4988  6 O 2.21-2.40
Y 0.7508 0.5851 0.4988  6 O 2.21-2.40
Y 0.2492 0.4149 0.5012  6 O 2.21-2.40
Y 0.7508 0.9149 0.5012  6 O 2.21-2.40
Y 0.7708 0.2069 0.6392  6 O 2.25-2.49
Y 0.2292 0.7069 0.6392  6 O 2.25-2.49
Y 0.2708 0.2069 0.8608  6 O 2.25-2.49
Y 0.7292 0.7069 0.8608  6 O 2.25-2.49
Y 0.2508 0.9149 0.9988  6 O 2.21-2.40
Y 0.7492 0.4149 0.9988  6 O 2.21-2.40
Ga 0.0585 0.0409 0.2265  4 O 1.88-1.95
Ga 0.9415 0.5409 0.2265  4 O 1.88-1.95
Ga 0.4415 0.5409 0.2735  4 O 1.88-1.95
Ga 0.5585 0.0409 0.2735  4 O 1.88-1.95
Ga 0.4415 0.9591 0.7265  4 O 1.88-1.95
Ga 0.5585 0.4591 0.7265  4 O 1.88-1.95
Ga 0.9415 0.9591 0.7735  4 O 1.88-1.95
Ga 0.0585 0.4591 0.7735  4 O 1.88-1.95
O 0.5339 0.2500 0.0000  4 Y 2.22-2.28
O 0.4661 0.7500 0.0000  4 Y 2.22-2.28
O 0.1167 0.1135 0.0529  1 Ga 2.15, 3 Y 2.31-2.40
O 0.8833 0.6135 0.0529  1 Ga 2.15, 3 Y 2.31-2.40
O 0.4577 0.4693 0.1166  1 Ga 1.95
O 0.5423 0.9693 0.1166  1 Ga 1.95
O 0.0670 0.8772 0.1753  1 Ga 1.88
O 0.9330 0.3772 0.1753  1 Ga 1.88
O 0.2012 0.6372 0.2225  2 Ga 1.88
O 0.7988 0.1372 0.2225  2 Ga 1.88
O 0.7012 0.6372 0.2775  2 Ga 1.88
O 0.2988 0.1372 0.2775  2 Ga 1.88
O 0.4330 0.3772 0.3247  1 Ga 1.88
O 0.5670 0.8772 0.3247  1 Ga 1.88
O 0.9577 0.4693 0.3834  1 Ga 1.95
O 0.0423 0.9693 0.3834  1 Ga 1.95
O 0.3833 0.6135 0.4471  1 Ga 2.15, 3 Y 2.31-2.40
O 0.6167 0.1135 0.4471  1 Ga 2.15, 3 Y 2.31-2.40
O 0.0339 0.2500 0.5000  4 Y 2.22-2.28
O 0.9661 0.7500 0.5000  4 Y 2.22-2.28
O 0.3833 0.8865 0.5529  1 Ga 2.15, 3 Y 2.31-2.40
O 0.6167 0.3865 0.5529  1 Ga 2.15, 3 Y 2.31-2.40
O 0.0423 0.5307 0.6166  1 Ga 1.95
O 0.9577 0.0307 0.6166  1 Ga 1.95
O 0.4330 0.1228 0.6753  1 Ga 1.88
O 0.5670 0.6228 0.6753  1 Ga 1.88
O 0.2988 0.3628 0.7225  2 Ga 1.88
O 0.7012 0.8628 0.7225  2 Ga 1.88
O 0.2012 0.8628 0.7775  2 Ga 1.88
O 0.7988 0.3628 0.7775  2 Ga 1.88
O 0.0670 0.6228 0.8247  1 Ga 1.88
O 0.9330 0.1228 0.8247  1 Ga 1.88
O 0.4577 0.0307 0.8834  1 Ga 1.95
O 0.5423 0.5307 0.8834  1 Ga 1.95
O 0.8833 0.8865 0.9471  1 Ga 2.15, 3 Y 2.31-2.40
O 0.1167 0.3865 0.9471  1 Ga 2.15, 3 Y 2.31-2.40

Calculated values
**Space group**: No. 60
**Calculated total energy**: -8.437 eV per atom
**Energy relative to the lowest polymorph listed for this composition**: 0.477 eV/f.u.
**E_form (uncorrected)**: -3.023 eV/atom



The following is a GGA-PBEsol calculation of a relaxed structure of ZrGaO3, from the Alexandria database.

a b c (Å): 4.1079 4.1079 4.1079
angles (deg): 90.00 90.00 90.00
Closest atoms and distances in Å follow each position.
Atoms (fractional coordinates):
O 0.0000 0.5000 0.0000  2 Zr 2.05
O 0.0000 0.0000 0.5000  2 Zr 2.05
O 0.5000 0.0000 0.0000  2 Zr 2.05
Ga 0.5000 0.5000 0.5000  12 O 2.90
Zr 0.0000 0.0000 0.0000  6 O 2.05

Calculated values
**Space group**: No. 221
**Calculated total energy**: -7.605 eV per atom
**E_form (uncorrected)**: -1.969 eV/atom



Q: Which of these has the highest E_form (uncorrected)?
A: Y2Ga2O



Q: E_form (uncorrected) of number 2 (Ga2WO6)?
A: -1.927 eV/atom